Record 1
VASP calculation (PBE) on a relaxed CsRb2CdO crystal.

Computed properties:
Its raw formation energy is -233 kJ/mol of formula units.

The structure in CIF format:
```
data_CsRb2CdO
_chemical_formula_sum 'Cs1 Rb2 Cd1 O1'
_space_group_name_H-M_alt 'P 4/m m m'
_space_group_IT_number 123
_space_group_name_Hall '-P 4 2'
_cell_length_a 5.783
_cell_length_b 5.783
_cell_length_c 6.063
_cell_angle_alpha 90.00
_cell_angle_beta 90.00
_cell_angle_gamma 90.00
loop_
_atom_site_label
_atom_site_type_symbol
_atom_site_fract_x
_atom_site_fract_y
_atom_site_fract_z
Cs1 Cs 0.000 0.000 0.000
Rb1 Rb 0.000 0.500 0.500
Cd1 Cd 0.500 0.500 0.000
O1 O 0.000 0.000 0.500
```

=====

Record 2
VASP calculation (PBE) on a relaxed CsRbCdO2 crystal.

Computed properties:
Its raw formation energy is -466 kJ/mol of formula units.

The structure in CIF format:
```
data_CsRbCdO2
_chemical_formula_sum 'Cs4 Rb4 Cd4 O8'
_space_group_name_H-M_alt 'C m m e'
_space_group_IT_number 67
_space_group_name_Hall '-C 2a 2'
_cell_length_a 7.828
_cell_length_b 15.316
_cell_length_c 6.740
_cell_angle_alpha 90.00
_cell_angle_beta 90.00
_cell_angle_gamma 90.00
loop_
_atom_site_label
_atom_site_type_symbol
_atom_site_fract_x
_atom_site_fract_y
_atom_site_fract_z
Cs1 Cs 0.000 0.250 0.130
Rb1 Rb 0.250 0.000 0.500
Cd1 Cd 0.000 0.000 0.000
O1 O 0.000 0.076 0.240
```

=====

Record 3
VASP calculation (PBE) on a relaxed CsCdRe2O8 crystal.

Computed properties:
Its raw formation energy is -1822 kJ/mol of formula units.

The structure in CIF format:
```
data_CsCdRe2O8
_chemical_formula_sum 'Cs3 Cd3 Re6 O24'
_space_group_name_H-M_alt 'R 3 2'
_space_group_IT_number 155
_space_group_name_Hall 'R 3 2"'
_cell_length_a 5.5726
_cell_length_b 5.5726
_cell_length_c 28.2991
_cell_angle_alpha 90.00
_cell_angle_beta 90.00
_cell_angle_gamma 120.00
loop_
_atom_site_label
_atom_site_type_symbol
_atom_site_fract_x
_atom_site_fract_y
_atom_site_fract_z
Cs1 Cs 0.0000 0.0000 0.0000
Cd1 Cd 0.0000 0.0000 0.5000
Re1 Re 0.0000 0.0000 0.2405
O1 O 0.0000 0.0000 0.3029
O2 O 0.0214 0.3800 0.8861
```

=====

Record 4
VASP calculation (PBE) on a relaxed Cs3Cd2RhO6 crystal.

Computed properties:
Its raw formation energy is -1078 kJ/mol of formula units.

The structure in CIF format:
```
data_Cs3Cd2RhO6
_chemical_formula_sum 'Cs6 Cd4 Rh2 O12'
_space_group_name_H-M_alt 'C 1 2/m 1'
_space_group_IT_number 12
_cell_length_a 6.078
_cell_length_b 10.553
_cell_length_c 6.850
_cell_angle_alpha 90.00
_cell_angle_beta 106.83
_cell_angle_gamma 90.00
loop_
_space_group_symop_operation_xyz
'x,y,z'
'-x,-y,-z'
'-x,y,-z'
'x,-y,z'
'x+1/2,y+1/2,z'
'-x+1/2,-y+1/2,-z'
'-x+1/2,y+1/2,-z'
'x+1/2,-y+1/2,z'
loop_
_atom_site_label
_atom_site_type_symbol
_atom_site_fract_x
_atom_site_fract_y
_atom_site_fract_z
Cs1 Cs 0.000 0.000 0.000
Cs2 Cs 0.000 0.331 0.000
Cd1 Cd 0.000 0.166 0.500
Rh1 Rh 0.000 0.500 0.500
O1 O 0.198 0.358 0.661
O2 O 0.230 0.500 0.332
```

=====

Record 5
VASP calculation (PBE) on a relaxed Cs2Cd2RhO6 crystal.

Computed properties:
Its raw formation energy is -947 kJ/mol of formula units.

The structure in CIF format:
```
data_Cs2Cd2RhO6
_chemical_formula_sum 'Cs4 Cd4 Rh2 O12'
_space_group_name_H-M_alt 'C 1 2/m 1'
_space_group_IT_number 12
_cell_length_a 5.958
_cell_length_b 10.011
_cell_length_c 7.104
_cell_angle_alpha 90.00
_cell_angle_beta 107.59
_cell_angle_gamma 90.00
loop_
_space_group_symop_operation_xyz
'x,y,z'
'-x,-y,-z'
'-x,y,-z'
'x,-y,z'
'x+1/2,y+1/2,z'
'-x+1/2,-y+1/2,-z'
'-x+1/2,y+1/2,-z'
'x+1/2,-y+1/2,z'
loop_
_atom_site_label
_atom_site_type_symbol
_atom_site_fract_x
_atom_site_fract_y
_atom_site_fract_z
Cs1 Cs 0.000 0.171 0.000
Cd1 Cd 0.000 0.336 0.500
Rh1 Rh 0.000 0.000 0.500
O1 O 0.197 0.145 0.661
O2 O 0.230 0.000 0.343
```

=====

Record 6
VASP calculation (PBE) on a relaxed CsCdRu2O8 crystal.

Computed properties:
Its raw formation energy is -1104 kJ/mol of formula units.

The structure in CIF format:
```
data_CsCdRu2O8
_chemical_formula_sum 'Cs3 Cd3 Ru6 O24'
_space_group_name_H-M_alt 'R -3'
_space_group_IT_number 148
_space_group_name_Hall '-R 3'
_cell_length_a 5.5791
_cell_length_b 5.5791
_cell_length_c 26.0988
_cell_angle_alpha 90.00
_cell_angle_beta 90.00
_cell_angle_gamma 120.00
loop_
_atom_site_label
_atom_site_type_symbol
_atom_site_fract_x
_atom_site_fract_y
_atom_site_fract_z
Cs1 Cs 0.0000 0.0000 0.0000
Cd1 Cd 0.0000 0.0000 0.5000
Ru1 Ru 0.0000 0.0000 0.2394
O1 O 0.0000 0.0000 0.3068
O2 O 0.0181 0.3118 0.2181
```

=====

Record 7
VASP calculation (PBE) on a relaxed CsCdS2O6 crystal.

Computed properties:
Its raw formation energy is -1250 kJ/mol of formula units.

The structure in CIF format:
```
data_CsCdS2O6
_chemical_formula_sum 'Cs4 Cd4 S8 O24'
_space_group_name_H-M_alt 'C 1 2/c 1'
_space_group_IT_number 15
_cell_length_a 8.930
_cell_length_b 11.124
_cell_length_c 8.129
_cell_angle_alpha 90.00
_cell_angle_beta 111.09
_cell_angle_gamma 90.00
loop_
_space_group_symop_operation_xyz
'x,y,z'
'-x,-y,-z'
'-x,y,-z+1/2'
'x,-y,z+1/2'
'x+1/2,y+1/2,z'
'-x+1/2,-y+1/2,-z'
'-x+1/2,y+1/2,-z+1/2'
'x+1/2,-y+1/2,z+1/2'
loop_
_atom_site_label
_atom_site_type_symbol
_atom_site_fract_x
_atom_site_fract_y
_atom_site_fract_z
Cs1 Cs 0.000 0.156 0.250
Cd1 Cd 0.000 0.365 0.750
S1 S 0.249 0.399 0.175
O1 O 0.088 0.354 0.045
O2 O 0.169 0.204 0.704
O3 O 0.215 0.498 0.288
```

=====

Record 8
VASP calculation (PBE) on a relaxed Cs2Cd2S2O crystal.

Computed properties:
Its raw formation energy is -674 kJ/mol of formula units.

The structure in CIF format:
```
data_Cs2Cd2S2O
_chemical_formula_sum 'Cs4 Cd4 S4 O2'
_space_group_name_H-M_alt 'C 1 2/m 1'
_space_group_IT_number 12
_cell_length_a 13.363
_cell_length_b 4.283
_cell_length_c 8.250
_cell_angle_alpha 90.00
_cell_angle_beta 121.59
_cell_angle_gamma 90.00
loop_
_space_group_symop_operation_xyz
'x,y,z'
'-x,-y,-z'
'-x,y,-z'
'x,-y,z'
'x+1/2,y+1/2,z'
'-x+1/2,-y+1/2,-z'
'-x+1/2,y+1/2,-z'
'x+1/2,-y+1/2,z'
loop_
_atom_site_label
_atom_site_type_symbol
_atom_site_fract_x
_atom_site_fract_y
_atom_site_fract_z
Cs1 Cs 0.055 0.000 0.310
Cd1 Cd 0.180 0.500 0.071
S1 S 0.198 0.500 0.760
O1 O 0.000 0.500 0.000
```

=====

Record 9
VASP calculation (PBE) on a relaxed Cs2CdSO6 crystal.

Computed properties:
Its raw formation energy is -967 kJ/mol of formula units.

The structure in CIF format:
```
data_Cs2CdSO6
_chemical_formula_sum 'Cs2 Cd1 S1 O6'
_space_group_name_H-M_alt 'P -3 m 1'
_space_group_IT_number 164
_space_group_name_Hall '-P 3 2"'
_cell_length_a 6.5403
_cell_length_b 6.5403
_cell_length_c 5.6381
_cell_angle_alpha 90.00
_cell_angle_beta 90.00
_cell_angle_gamma 120.00
loop_
_atom_site_label
_atom_site_type_symbol
_atom_site_fract_x
_atom_site_fract_y
_atom_site_fract_z
Cs1 Cs 0.3333 0.6667 0.1809
Cd1 Cd 0.0000 0.0000 0.5000
S1 S 0.0000 0.0000 0.0000
O1 O 0.1203 0.2407 0.8280
```

=====

Record 10
VASP calculation (PBE) on a relaxed Cs2CdSbO4 crystal.

Computed properties:
Its raw formation energy is -1011 kJ/mol of formula units.

The structure in CIF format:
```
data_Cs2CdSbO4
_chemical_formula_sum 'Cs4 Cd2 Sb2 O8'
_space_group_name_H-M_alt 'I -4'
_space_group_IT_number 82
_cell_length_a 6.477
_cell_length_b 6.477
_cell_length_c 8.902
_cell_angle_alpha 90.00
_cell_angle_beta 90.00
_cell_angle_gamma 90.00
loop_
_space_group_symop_operation_xyz
'x,y,z'
'y,-x,-z'
'-x,-y,z'
'-y,x,-z'
'x+1/2,y+1/2,z+1/2'
'y+1/2,-x+1/2,-z+1/2'
'-x+1/2,-y+1/2,z+1/2'
'-y+1/2,x+1/2,-z+1/2'
loop_
_atom_site_label
_atom_site_type_symbol
_atom_site_fract_x
_atom_site_fract_y
_atom_site_fract_z
Cs1 Cs 0.000 0.000 0.000
Cs2 Cs 0.000 0.500 0.250
Cd1 Cd 0.000 0.500 0.750
Sb1 Sb 0.000 0.000 0.500
O1 O 0.124 0.774 0.621
```

=====

In order of appearance, E_tot = -2.2159 -3.4957 -7.1014 -4.3888 -4.5869 -5.9526 -5.2725 -3.3905 -4.6520 -4.6314 eV per atom.
In order of appearance, total magnetic moment = 0.00 0.00 0.00 4.14 5.59 9.09 4.06 0.00 2.00 0.00 μB per cell.